(1)
Below is a relaxed YScCl crystal, with properties calculated at the PBE level.

Properties
The raw formation energy is -721 meV/atom. The value obtained for the calculated volume is 74 Å³/f.u. The total energy is -5.60 eV per atom. The relative energy among the computed polymorphs is 0.151 eV/atom. Its space group is Fmm2 (42).

Cell: 3.6921 5.7851 13.9095 Å, 90.00 90.00 90.00°
Element x y z (fractional)
1 Y 0.0000 0.0000 0.0000
2 Y 0.0000 0.5000 0.5000
3 Y 0.5000 0.0000 0.5000
4 Y 0.5000 0.5000 0.0000
5 Sc 0.0000 0.0000 0.3180
6 Sc 0.0000 0.5000 0.8180
7 Sc 0.5000 0.0000 0.8180
8 Sc 0.5000 0.5000 0.3180
9 Cl 0.0000 0.0000 0.6674
10 Cl 0.0000 0.5000 0.1674
11 Cl 0.5000 0.0000 0.1674
12 Cl 0.5000 0.5000 0.6674

=====

(2)
Below is a relaxed Nb2SiPPb crystal, with properties calculated at the PBE level.

Properties
The raw formation energy is 2130 meV/atom. The value obtained for the calculated volume is 135 Å³/f.u. The total energy is -4.81 eV per atom. Its space group is P4/mmm (123).

Cell: 5.2731 5.2731 4.8385 Å, 90.00 90.00 90.00°
Element x y z (fractional)
1 Nb 0.0000 0.5000 0.0000
2 Nb 0.5000 0.0000 0.0000
3 Si 0.0000 0.0000 0.5000
4 P 0.5000 0.5000 0.5000
5 Pb 0.5000 0.5000 0.0000

=====

(3)
Below is a relaxed Pa3Ge4Ir2 crystal, with properties calculated at the PBE level.

Properties
The value obtained for the calculated volume is 183 Å³/f.u. The total energy is -7.84 eV per atom. The value obtained for the formation energy is -0.656 eV per atom. Its space group is C2/m (12).

Cell: 5.7677 5.7677 8.2214 Å, 103.36 103.36 43.84°
Element x y z (fractional)
1 Pa 0.0000 0.0000 0.0000
2 Pa 0.3255 0.3255 0.3418
3 Pa 0.6745 0.6745 0.6582
4 Ge 0.0350 0.0350 0.3683
5 Ge 0.2847 0.2847 0.9479
6 Ge 0.7153 0.7153 0.0521
7 Ge 0.9650 0.9650 0.6317
8 Ir 0.3784 0.3784 0.7007
9 Ir 0.6216 0.6216 0.2993

=====

(4)
Below is a relaxed Mg2AgMo crystal, with properties calculated at the PBE level.

Properties
The value obtained for the calculated volume is 72 Å³/f.u. The total energy is -4.02 eV per atom. The value obtained for the formation energy is 0.201 eV per atom. The relative energy among the computed polymorphs is 0.091 eV/atom. Its space group is R-3m (166).

Cell: 2.9405 2.9405 28.6891 Å, 90.00 90.00 120.00°
Element x y z (fractional)
1 Mg 0.0000 0.0000 0.2504
2 Mg 0.0000 0.0000 0.7496
3 Mg 0.3333 0.6667 0.4163
4 Mg 0.3333 0.6667 0.9170
5 Mg 0.6667 0.3333 0.0830
6 Mg 0.6667 0.3333 0.5837
7 Ag 0.0000 0.0000 0.0000
8 Ag 0.3333 0.6667 0.6667
9 Ag 0.6667 0.3333 0.3333
10 Mo 0.0000 0.0000 0.5000
11 Mo 0.3333 0.6667 0.1667
12 Mo 0.6667 0.3333 0.8333